Here is a geometry-optimized MnGa2MoO6 structure from Alexandria. Energies are from GGA+U.

Results
* DFT total energy: -6.8139 eV/atom
* theoretical density: 5.24 g/cm3
* crystal system: monoclinic
* V: 122.3 Å³/f.u.
* space-group type: No. 15

Lattice parameters (Å, degrees): 6.7839 6.7839 5.3961 96.88 96.88 87.20
Element x y z (fractional)
Mn  0.0869  0.9131  0.7500
Mn  0.9131  0.0869  0.2500
Ga  0.2158  0.4022  0.6987
Ga  0.4022  0.2158  0.1987
Ga  0.5978  0.7842  0.8013
Ga  0.7842  0.5978  0.3013
Mo  0.2728  0.7272  0.2500
Mo  0.7272  0.2728  0.7500
O  0.0150  0.2189  0.6348
O  0.1528  0.6303  0.9006
O  0.2189  0.0150  0.1348
O  0.2861  0.4407  0.3781
O  0.3697  0.8472  0.5994
O  0.4407  0.2861  0.8781
O  0.5593  0.7139  0.1219
O  0.6303  0.1528  0.4006
O  0.7139  0.5593  0.6219
O  0.7811  0.9850  0.8652
O  0.8472  0.3697  0.0994
O  0.9850  0.7811  0.3652